No. 1
Material: Na2Li4N
Method: DFT, PBE
State: relaxed

Unit cell a=3.8977 b=3.8977 c=20.5789 alpha=90.00 beta=90.00 gamma=90.00
Space group I4/mmm (No. 139)
Asymmetric unit:
Na1 0.0000 0.0000 0.1927
Li1 0.0000 0.0000 0.4067
Li2 0.0000 0.5000 0.0000
N1 0.0000 0.0000 0.5000

## Properties
V: 22.33 Å³/atom
formation energy without anion corrections: -0.1763 eV/atom
crystal system: tetragonal
VASP energy: -2.836 eV per atom

No. 2
Material: Ba2Mg2Sb
Method: DFT, PBE
State: relaxed

Unit cell a=8.0598 b=8.0598 c=5.5625 alpha=90.00 beta=90.00 gamma=90.00
Space group P4/mbm (No. 127)
Asymmetric unit:
Ba1 0.1796 0.3204 0.0000
Mg1 0.1271 0.6271 0.5000
Sb1 0.0000 0.0000 0.5000

## Properties
energy above the lowest structure with this stoichiometry: 35 meV per atom
V: 36.13 Å³/atom
formation energy without anion corrections: -0.2989 eV/atom
crystal system: tetragonal
VASP energy: -2.530 eV per atom

No. 3
Material: Li2Hg3Pd
Method: DFT, PBE
State: relaxed

Unit cell a=3.4100 b=3.4100 c=9.3998 alpha=90.00 beta=90.00 gamma=90.00
Space group P4/mmm (No. 123)
Asymmetric unit:
Li1 0.0000 0.0000 0.1748
Hg1 0.5000 0.5000 0.0000
Hg2 0.5000 0.5000 0.3295
Pd1 0.0000 0.0000 0.5000

## Properties
V: 18.22 Å³/atom
crystal system: tetragonal
VASP energy: -1.963 eV per atom
DFT formation energy: -309 meV per atom

No. 4
Material: NaRu3Br
Method: DFT, PBE
State: relaxed

Unit cell a=4.6325 b=4.6325 c=4.6325 alpha=90.00 beta=90.00 gamma=90.00
Space group Pm-3m (No. 221)
Asymmetric unit:
Na1 0.0000 0.0000 0.0000
Ru1 0.0000 0.5000 0.5000
Br1 0.5000 0.5000 0.5000

## Properties
energy above the lowest structure with this stoichiometry: 0 meV per atom
V: 19.88 Å³/atom
formation energy without anion corrections: 1.3996 eV/atom
crystal system: cubic
VASP energy: -4.764 eV per atom

No. 5
Material: Tb19Y6Er4
Method: DFT, PBE
State: relaxed

Unit cell a=12.4509 b=12.4509 c=12.4509 alpha=90.00 beta=90.00 gamma=90.00
Space group I23 (No. 197)
Asymmetric unit:
Tb1 0.0000 0.0000 0.0000
Tb2 0.0000 0.0000 0.2588
Tb3 0.0637 0.2783 0.7415
Y1 0.0000 0.1287 0.5000
Er1 0.1793 0.1793 0.1793

## Properties
V: 33.28 Å³/atom
crystal system: cubic
VASP energy: -4.617 eV per atom
DFT formation energy: 383 meV per atom

No. 6
Material: MgNbSe2N
Method: DFT, PBE
State: relaxed

Unit cell a=5.2116 b=5.2116 c=3.8972 alpha=90.00 beta=90.00 gamma=90.00
Space group P4/mmm (No. 123)
Asymmetric unit:
Mg1 0.0000 0.0000 0.0000
Nb1 0.5000 0.5000 0.5000
Se1 0.0000 0.5000 0.5000
N1 0.5000 0.5000 0.0000

## Properties
energy above the lowest structure with this stoichiometry: 0 meV per atom
V: 21.17 Å³/atom
formation energy without anion corrections: -0.2802 eV/atom
crystal system: tetragonal
VASP energy: -5.672 eV per atom

No. 7
Material: LaHf3Mo
Method: DFT, PBE
State: relaxed

Unit cell a=5.0653 b=5.0653 c=5.0653 alpha=90.00 beta=90.00 gamma=90.00
Space group Pm-3m (No. 221)
Asymmetric unit:
La1 0.0000 0.0000 0.0000
Hf1 0.0000 0.0000 0.5000
Mo1 0.5000 0.5000 0.5000

## Properties
energy above the lowest structure with this stoichiometry: 1503 meV per atom
V: 25.99 Å³/atom
crystal system: cubic
VASP energy: -7.157 eV per atom
DFT formation energy: 1967 meV per atom

No. 8
Material: MnAlRe2
Method: DFT, PBE
State: relaxed

Unit cell a=2.7450 b=2.7450 c=25.7642 alpha=90.00 beta=90.00 gamma=120.00
Space group R-3m (No. 166, hexagonal axes)
Asymmetric unit:
Mn1 0.0000 0.0000 0.0000
Al1 0.0000 0.0000 0.5000
Re1 0.0000 0.0000 0.2539

## Properties
V: 14.01 Å³/atom
crystal system: trigonal
VASP energy: -9.449 eV per atom
DFT formation energy: 3 meV per atom

No. 9
Material: Cd4RuPt
Method: DFT, PBE
State: relaxed

Unit cell a=7.7027 b=7.7027 c=7.7027 alpha=90.00 beta=90.00 gamma=90.00
Space group F-43m (No. 216)
Asymmetric unit:
Cd1 0.1251 0.1251 0.1251
Ru1 0.0000 0.0000 0.5000
Pt1 0.2500 0.2500 0.7500

## Properties
V: 19.04 Å³/atom
crystal system: cubic
VASP energy: -2.695 eV per atom
DFT formation energy: 468 meV per atom

No. 10
Material: Mg5Zn5Ir2
Method: DFT, PBE
State: relaxed

Unit cell a=12.0045 b=3.9143 c=9.2045 alpha=90.00 beta=116.50 gamma=90.00
Space group C2/m (No. 12)
Asymmetric unit:
Mg1 0.0000 0.0000 0.0000
Mg2 0.0820 0.0000 0.7534
Mg3 0.1645 0.0000 0.4920
Zn1 0.0000 0.5000 0.5000
Zn2 0.1656 0.5000 0.0018
Zn3 0.2403 0.0000 0.2439
Ir1 0.0877 0.5000 0.2424

## Properties
V: 16.13 Å³/atom
crystal system: monoclinic
VASP energy: -2.874 eV per atom
DFT formation energy: -202 meV per atom

No. 11
Material: HfNbIr6
Method: DFT, PBE
State: relaxed

Unit cell a=5.5901 b=5.5901 c=3.9312 alpha=90.00 beta=90.00 gamma=90.00
Space group P4/mmm (No. 123)
Asymmetric unit:
Hf1 0.0000 0.0000 0.0000
Nb1 0.5000 0.5000 0.0000
Ir1 0.0000 0.5000 0.0000
Ir2 0.2535 0.2535 0.5000

## Properties
V: 15.36 Å³/atom
crystal system: tetragonal
VASP energy: -9.860 eV per atom
DFT formation energy: -712 meV per atom

No. 12
Material: La3Tc
Method: DFT, PBE
State: relaxed

Unit cell a=4.7031 b=4.7031 c=19.5986 alpha=90.00 beta=90.00 gamma=90.00
Space group I4/mmm (No. 139)
Asymmetric unit:
La1 0.0000 0.0000 0.1271
La2 0.0000 0.5000 0.0000
La3 0.0000 0.5000 0.2500
Tc1 0.0000 0.0000 0.3722

## Properties
V: 27.09 Å³/atom
crystal system: tetragonal
VASP energy: -5.970 eV per atom
DFT formation energy: 317 meV per atom

No. 13
Material: Nd2Te2Br
Method: DFT, PBE
State: relaxed

Unit cell a=4.4859 b=4.4859 c=17.9818 alpha=90.00 beta=90.00 gamma=90.00
Space group I4/mmm (No. 139)
Asymmetric unit:
Nd1 0.0000 0.0000 0.1613
Te1 0.0000 0.0000 0.3409
Br1 0.0000 0.0000 0.0000

## Properties
energy above the lowest structure with this stoichiometry: 0 meV per atom
V: 36.19 Å³/atom
formation energy without anion corrections: -1.5388 eV/atom
crystal system: tetragonal
VASP energy: -5.037 eV per atom

No. 14
Material: Ac5Pm2PrY
Method: DFT, PBE
State: relaxed

Unit cell a=5.9837 b=21.8921 c=11.2851 alpha=90.00 beta=90.00 gamma=90.00
Space group Cmc2_1 (No. 36)
Asymmetric unit:
Ac1 0.0000 0.0106 0.0000
Ac2 0.0000 0.2765 0.3103
Ac3 0.0000 0.2971 0.6933
Ac4 0.0000 0.3734 0.0068
Ac5 0.0000 0.4877 0.7367
Pm1 0.0000 0.1141 0.2878
Pm2 0.0000 0.1161 0.7323
Pr1 0.0000 0.4057 0.4574
Y1 0.0000 0.1914 0.0023

## Properties
V: 41.06 Å³/atom
crystal system: orthorhombic
VASP energy: -4.444 eV per atom
DFT formation energy: 143 meV per atom

No. 15
Material: Th2CuB10
Method: DFT, PBE
State: relaxed

Unit cell a=5.6864 b=11.2727 c=4.1858 alpha=90.00 beta=90.00 gamma=90.00
Space group Pbam (No. 55)
Asymmetric unit:
Th1 0.1944 0.1372 0.0000
Cu1 0.0000 0.5000 0.5000
B1 0.0421 0.3095 0.5000
B2 0.1214 0.9585 0.5000
B3 0.1483 0.8026 0.5000
B4 0.2085 0.3835 0.1988

## Properties
V: 10.32 Å³/atom
crystal system: orthorhombic
VASP energy: -7.095 eV per atom
DFT formation energy: -502 meV per atom

No. 16
Material: Pm12Y2Tl
Method: DFT, PBE
State: relaxed

Unit cell a=6.6998 b=6.6998 c=23.6871 alpha=90.00 beta=90.00 gamma=90.00
Space group P4/nbm (No. 125, origin choice 2)
Asymmetric unit:
Pm1 0.0038 0.5038 0.0932
Pm2 0.0837 0.5837 0.5656
Pm3 0.2500 0.2500 0.1999
Pm4 0.2500 0.2500 0.3282
Y1 0.2500 0.7500 0.2504
Tl1 0.2500 0.7500 0.0000

## Properties
V: 35.44 Å³/atom
crystal system: tetragonal
VASP energy: -4.584 eV per atom
DFT formation energy: 237 meV per atom

No. 17
Material: Li2Si3P3
Method: DFT, PBE
State: relaxed

Unit cell a=5.0371 b=5.0371 c=9.0659 alpha=90.00 beta=90.00 gamma=90.00
Space group P4_2/nnm (No. 134, origin choice 2)
Asymmetric unit:
Li1 0.0000 0.0000 0.0000
Si1 0.2500 0.2500 0.2500
Si2 0.2500 0.7500 0.2500
P1 0.0000 0.0000 0.5000
P2 0.2500 0.7500 0.7500

## Properties
V: 14.38 Å³/atom
formation energy without anion corrections: 0.1699 eV/atom
crystal system: tetragonal
VASP energy: -4.371 eV per atom

No. 18
Material: K2InRu
Method: DFT, PBE
State: relaxed

Unit cell a=3.7042 b=3.7042 c=10.1149 alpha=90.00 beta=90.00 gamma=90.00
Space group P4mm (No. 99)
Asymmetric unit:
K1 0.0000 0.0000 0.0000
K2 0.5000 0.5000 0.4116
In1 0.5000 0.5000 0.7327
Ru1 0.0000 0.0000 0.6780

## Properties
V: 34.70 Å³/atom
crystal system: tetragonal
VASP energy: -3.190 eV per atom
DFT formation energy: 362 meV per atom

No. 19
Material: TaCrCd2Te
Method: DFT, PBE
State: relaxed

Unit cell a=5.3973 b=5.3973 c=4.9397 alpha=90.00 beta=90.00 gamma=90.00
Space group P4/mmm (No. 123)
Asymmetric unit:
Ta1 0.0000 0.0000 0.0000
Cr1 0.5000 0.5000 0.0000
Cd1 0.0000 0.5000 0.5000
Te1 0.5000 0.5000 0.5000

## Properties
V: 28.78 Å³/atom
formation energy without anion corrections: 1.6780 eV/atom
crystal system: tetragonal
VASP energy: -3.612 eV per atom

No. 20
Material: CsRb2Ga2As2
Method: DFT, PBE
State: relaxed

Unit cell a=12.3420 b=4.1460 c=11.1035 alpha=90.00 beta=110.64 gamma=90.00
Space group C2/m (No. 12)
Asymmetric unit:
Cs1 0.0000 0.0000 0.0000
Rb1 0.1006 0.0000 0.3901
Ga1 0.1444 0.5000 0.7679
As1 0.2488 0.5000 0.2513

## Properties
V: 37.98 Å³/atom
crystal system: monoclinic
VASP energy: -2.869 eV per atom
DFT formation energy: -278 meV per atom